## CoNiSe2Br (PBE)

Data for a relaxed structure of CoNiSe2Br.

The structure in POSCAR format:
```
CoNiSe2Br
1.0
4.5861 0.0000 0.0000
0.0000 4.5861 0.0000
0.0000 0.0000 5.1177
Co Ni Se Br
1 1 2 1
Direct
0.0000 0.0000 0.0000 Co
0.5000 0.5000 0.5000 Ni
0.0000 0.5000 0.0000 Se
0.5000 0.0000 0.0000 Se
0.0000 0.0000 0.5000 Br
```

Results
- formation energy (no corrections) (eV/atom) = 0.670
- E above lowest polymorph (meV per atom) = 0.0

## YIn3Ni3 (PBE)

Data for a relaxed structure of YIn3Ni3.

The structure in POSCAR format:
```
YIn3Ni3
1.0
6.9039 0.0000 0.0000
0.0000 6.9039 0.0000
0.0000 0.0000 6.9039
Y In Ni
2 6 6
Direct
0.0000 0.0000 0.0000 Y
0.5000 0.5000 0.5000 Y
0.0000 0.2500 0.5000 In
0.0000 0.7500 0.5000 In
0.2500 0.5000 0.0000 In
0.5000 0.0000 0.2500 In
0.5000 0.0000 0.7500 In
0.7500 0.5000 0.0000 In
0.0000 0.5000 0.2500 Ni
0.0000 0.5000 0.7500 Ni
0.2500 0.0000 0.5000 Ni
0.5000 0.2500 0.0000 Ni
0.5000 0.7500 0.0000 Ni
0.7500 0.0000 0.5000 Ni
```

Results
- formation energy (meV per atom) = 316.5

## Sc2Ru2C3 (PBE)

Data for a relaxed structure of Sc2Ru2C3.

The structure in POSCAR format:
```
Sc2Ru2C3
1.0
5.3759 -1.6315 0.0000
5.3759 1.6315 0.0000
-1.9240 0.0000 5.0870
Sc Ru C
2 2 3
Direct
0.1133 0.1133 0.3422 Sc
0.8867 0.8867 0.6578 Sc
0.3432 0.3432 0.1728 Ru
0.6568 0.6568 0.8272 Ru
0.2569 0.2569 0.7644 C
0.5000 0.5000 0.5000 C
0.7431 0.7431 0.2356 C
```

Results
- formation energy (meV per atom) = -295.5

## ScIrCl2 (PBE)

Data for a relaxed structure of ScIrCl2.

The structure in POSCAR format:
```
ScIrCl2
1.0
3.0849 0.0000 0.0000
0.0000 3.0849 0.0000
0.0000 0.0000 8.7577
Sc Ir Cl
1 1 2
Direct
0.0000 0.0000 0.0000 Sc
0.5000 0.5000 0.7999 Ir
0.0000 0.0000 0.6002 Cl
0.5000 0.5000 0.1895 Cl
```

Results
- formation energy (no corrections) (eV/atom) = -0.657
- E above lowest polymorph (meV per atom) = 271.3

## MgHgAu4 (PBE)

Data for a relaxed structure of MgHgAu4.

The structure in POSCAR format:
```
MgHgAu4
1.0
2.5268 -4.6083 0.0000
2.5268 4.6083 0.0000
-1.4448 0.0000 4.8035
Mg Hg Au
1 1 4
Direct
0.0000 0.0000 0.0000 Mg
0.5000 0.5000 0.5000 Hg
0.1620 0.8380 0.5000 Au
0.3313 0.6687 0.0000 Au
0.6687 0.3313 0.0000 Au
0.8380 0.1620 0.5000 Au
```

Results
- formation energy (meV per atom) = -192.9
- E above lowest polymorph (meV per atom) = 0.0

## Sc2PbI (PBE)

Data for a relaxed structure of Sc2PbI.

The structure in POSCAR format:
```
Sc2PbI
1.0
-3.2271 3.2271 7.0206
3.2271 -3.2271 7.0206
3.2271 3.2271 -7.0206
Sc Pb I
4 2 2
Direct
0.1039 0.6250 0.9789 Sc
0.3750 0.3539 0.4789 Sc
0.6461 0.1250 0.0211 Sc
0.8750 0.8961 0.5211 Sc
0.0000 0.0000 0.0000 Pb
0.7500 0.2500 0.5000 Pb
0.2500 0.7500 0.5000 I
0.5000 0.5000 0.0000 I
```

Results
- formation energy (no corrections) (eV/atom) = -0.028
- E above lowest polymorph (meV per atom) = 335.9

## Th2Ga2Au3 (PBE)

Data for a relaxed structure of Th2Ga2Au3.

The structure in POSCAR format:
```
Th2Ga2Au3
1.0
2.1450 -10.0167 0.0000
2.1450 10.0167 0.0000
0.0000 0.0000 7.3011
Th Ga Au
4 4 6
Direct
0.0532 0.9468 0.7500 Th
0.1579 0.8421 0.2500 Th
0.8421 0.1579 0.7500 Th
0.9468 0.0532 0.2500 Th
0.3116 0.6884 0.0589 Ga
0.3116 0.6884 0.4411 Ga
0.6884 0.3116 0.5589 Ga
0.6884 0.3116 0.9411 Ga
0.2228 0.7772 0.7500 Au
0.4351 0.5649 0.5580 Au
0.4351 0.5649 0.9420 Au
0.5649 0.4351 0.0580 Au
0.5649 0.4351 0.4420 Au
0.7772 0.2228 0.2500 Au
```

Results
- formation energy (meV per atom) = -590.9
- E above lowest polymorph (meV per atom) = 21.0

## TiOs3F (PBE)

Data for a relaxed structure of TiOs3F.

The structure in POSCAR format:
```
TiOs3F
1.0
4.6076 0.0000 0.0000
0.0000 4.6076 0.0000
0.0000 0.0000 4.6076
Ti Os F
1 3 1
Direct
0.0000 0.0000 0.0000 Ti
0.0000 0.0000 0.5000 Os
0.0000 0.5000 0.0000 Os
0.5000 0.0000 0.0000 Os
0.5000 0.5000 0.5000 F
```

Results
- formation energy (no corrections) (eV/atom) = 2.077
- E above lowest polymorph (meV per atom) = 970.2

## Dy2MgAu (PBE)

Data for a relaxed structure of Dy2MgAu.

The structure in POSCAR format:
```
Dy2MgAu
1.0
0.0000 3.6715 3.6715
3.6715 0.0000 3.6715
3.6715 3.6715 0.0000
Dy Mg Au
2 1 1
Direct
0.2500 0.2500 0.2500 Dy
0.7500 0.7500 0.7500 Dy
0.0000 0.0000 0.0000 Mg
0.5000 0.5000 0.5000 Au
```

Results
- formation energy (meV per atom) = -410.2
- E above lowest polymorph (meV per atom) = 59.0

## LiMgIr2 (PBE)

Data for a relaxed structure of LiMgIr2.

The structure in POSCAR format:
```
LiMgIr2
1.0
2.7553 0.0000 0.0000
0.0000 4.0658 0.0000
0.0000 0.0000 5.2372
Li Mg Ir
1 1 2
Direct
0.0000 0.0000 0.0000 Li
0.0000 0.0000 0.5000 Mg
0.5000 0.5000 0.2422 Ir
0.5000 0.5000 0.7578 Ir
```

Results
- formation energy (meV per atom) = -110.5

## CeTh2NbN4 (PBE)

Data for a relaxed structure of CeTh2NbN4.

The structure in POSCAR format:
```
CeTh2NbN4
1.0
1.7480 -6.1229 0.0000
1.7480 6.1229 0.0000
0.0000 0.0000 12.3271
Ce Th Nb N
2 4 2 8
Direct
0.1066 0.8934 0.7500 Ce
0.8934 0.1066 0.2500 Ce
0.3686 0.6314 0.5434 Th
0.3686 0.6314 0.9566 Th
0.6314 0.3686 0.0434 Th
0.6314 0.3686 0.4566 Th
0.1582 0.8418 0.2500 Nb
0.8418 0.1582 0.7500 Nb
0.0000 0.0000 0.0000 N
0.0000 0.0000 0.5000 N
0.2731 0.7269 0.1277 N
0.2731 0.7269 0.3723 N
0.4548 0.5452 0.7500 N
0.5452 0.4548 0.2500 N
0.7269 0.2731 0.6277 N
0.7269 0.2731 0.8723 N
```

Results
- formation energy (no corrections) (eV/atom) = -1.151

## CaPdO (PBE)

Data for a relaxed structure of CaPdO.

The structure in POSCAR format:
```
CaPdO
1.0
1.5927 -5.6334 0.0000
1.5927 5.6334 0.0000
0.0000 0.0000 5.5926
Ca Pd O
2 2 2
Direct
0.0814 0.9186 0.7500 Ca
0.9186 0.0814 0.2500 Ca
0.3384 0.6616 0.7500 Pd
0.6616 0.3384 0.2500 Pd
0.5000 0.5000 0.0000 O
0.5000 0.5000 0.5000 O
```

Results
- formation energy (no corrections) (eV/atom) = -1.328